# PBE Si2AgW, optimized geometry
# - ΔE to the lowest computed polymorph (eV per atom) = 0.212
data_Si2AgW
_cell_length_a 5.957
_cell_length_b 8.453
_cell_length_c 2.812
_cell_angle_alpha 90.00
_cell_angle_beta 117.98
_cell_angle_gamma 90.00
_space_group_name_H-M_alt 'C 1 2/m 1'
_space_group_IT_number 12
_space_group_name_Hall '-C 2y'
loop_
_atom_site_label
_atom_site_fract_x
_atom_site_fract_y
_atom_site_fract_z
_atom_site_occupancy
Si1 0.250 0.250 0.000 1
Ag1 0.000 0.000 0.500 1
W1 0.000 0.500 0.500 1

# PBE La2Ga2Cl, optimized geometry
# - E_tot (eV/atom) = -4.68
data_La2Ga2Cl
_cell_length_a 7.419
_cell_length_b 4.283
_cell_length_c 8.278
_cell_angle_alpha 90.00
_cell_angle_beta 107.45
_cell_angle_gamma 90.00
_space_group_name_H-M_alt 'C 1 2/m 1'
_space_group_IT_number 12
_space_group_name_Hall '-C 2y'
loop_
_atom_site_label
_atom_site_fract_x
_atom_site_fract_y
_atom_site_fract_z
_atom_site_occupancy
La1 0.090 0.000 0.269 1
Ga1 0.177 0.500 0.030 1
Cl1 0.000 0.500 0.500 1